PBE FeCuTeS2, optimized geometry; total magnetization = 3.12 Bohr magnetons per cell
1.0
5.211 0.000 0.000
0.000 5.211 0.000
0.000 0.000 4.762
Fe Cu Te S
1 1 1 2
Direct
0.000 0.000 0.000 Fe
0.500 0.500 0.000 Cu
0.000 0.000 0.500 Te
0.000 0.500 0.500 S
0.500 0.000 0.500 S

=====

PBE ZnFe2CuS, optimized geometry; total magnetization = 5.57 Bohr magnetons per cell
1.0
4.543 0.000 0.000
0.000 4.543 0.000
0.000 0.000 4.459
Zn Fe Cu S
1 2 1 1
Direct
0.000 0.000 0.000 Zn
0.000 0.500 0.000 Fe
0.500 0.000 0.000 Fe
0.500 0.500 0.500 Cu
0.000 0.000 0.500 S

=====

| no. | raw formation energy (eV/atom) |
| --- | --- |
| 1 | 1.13 |
| 2 | 1.24 |